--- i ---
VASP calculation (GGA-PBE) on FeRhPb2 after structural relaxation.

Values from the calculation:
- Total magnetic moment: 2.62 μB/f.u.
- D(E_F): 12.57 states/eV/cell

Cell: 4.1199 4.1199 18.9559 Å, 90.00 90.00 120.00°
With the nearest neighbours (Å) after each atom.
Sites, in units of the cell vectors:
Fe (0.0000, 0.0000, 0.0000)  3 Rh 2.40
Fe (0.3333, 0.6667, 0.6667)  3 Rh 2.40
Fe (0.6667, 0.3333, 0.3333)  3 Rh 2.40
Rh (0.0000, 0.0000, 0.3178)  3 Fe 2.40
Rh (0.3333, 0.6667, 0.9845)  3 Fe 2.40
Rh (0.6667, 0.3333, 0.6511)  3 Fe 2.40
Pb (0.0000, 0.0000, 0.5602)  3 Rh 2.94, 3 Fe 3.12
Pb (0.0000, 0.0000, 0.7544)  3 Fe 2.90, 3 Rh 3.08
Pb (0.3333, 0.6667, 0.2269)  3 Rh 2.94, 3 Fe 3.12
Pb (0.3333, 0.6667, 0.4210)  3 Fe 2.90, 3 Rh 3.08
Pb (0.6667, 0.3333, 0.0877)  3 Fe 2.90, 3 Rh 3.08
Pb (0.6667, 0.3333, 0.8935)  3 Rh 2.94, 3 Fe 3.12

--- ii ---
VASP calculation (GGA-PBE) on FeRhPb2 after structural relaxation.

Values from the calculation:
- Total magnetic moment: 3.31 μB/f.u.
- D(E_F): 16.68 states/eV/cell

Cell: 6.9118 6.9118 6.9118 Å, 90.00 90.00 90.00°
With the nearest neighbours (Å) after each atom.
Sites, in units of the cell vectors:
Fe (0.0000, 0.0000, 0.0000)  4 Pb 2.99, 4 Rh 2.99
Fe (0.0000, 0.5000, 0.5000)  4 Pb 2.99, 4 Rh 2.99
Fe (0.5000, 0.0000, 0.5000)  4 Pb 2.99, 4 Rh 2.99
Fe (0.5000, 0.5000, 0.0000)  4 Pb 2.99, 4 Rh 2.99
Rh (0.2500, 0.2500, 0.7500)  4 Pb 2.99, 4 Fe 2.99
Rh (0.2500, 0.7500, 0.2500)  4 Pb 2.99, 4 Fe 2.99
Rh (0.7500, 0.2500, 0.2500)  4 Pb 2.99, 4 Fe 2.99
Rh (0.7500, 0.7500, 0.7500)  4 Pb 2.99, 4 Fe 2.99
Pb (0.0000, 0.0000, 0.5000)  4 Pb 2.99, 4 Rh 2.99
Pb (0.0000, 0.5000, 0.0000)  4 Pb 2.99, 4 Rh 2.99
Pb (0.2500, 0.2500, 0.2500)  4 Pb 2.99, 4 Fe 2.99
Pb (0.2500, 0.7500, 0.7500)  4 Pb 2.99, 4 Fe 2.99
Pb (0.5000, 0.0000, 0.0000)  4 Pb 2.99, 4 Rh 2.99
Pb (0.5000, 0.5000, 0.5000)  4 Pb 2.99, 4 Rh 2.99
Pb (0.7500, 0.2500, 0.7500)  4 Pb 2.99, 4 Fe 2.99
Pb (0.7500, 0.7500, 0.2500)  4 Pb 2.99, 4 Fe 2.99

Of them, ii has the lowest stability.

--- i ---
VASP calculation (GGA-PBE) on FeRhPb2 after structural relaxation.

Values from the calculation:
- Total magnetic moment: 3.20 μB/f.u.
- D(E_F): 6.85 states/eV/cell

Cell: 3.2639 4.5960 11.3500 Å, 90.00 90.00 90.00°
With the nearest neighbours (Å) after each atom.
Sites, in units of the cell vectors:
Fe (0.0000, 0.0000, 0.0000)  2 Rh 2.51
Fe (0.5000, 0.5000, 0.5000)  2 Rh 2.51
Rh (0.0000, 0.5000, 0.3318)  2 Fe 2.51
Rh (0.5000, 0.0000, 0.8318)  2 Fe 2.51
Pb (0.0000, 0.0000, 0.5789)  4 Fe 2.96, 2 Pb 3.26, 2 Rh 3.30
Pb (0.0000, 0.5000, 0.7981)  4 Rh 2.84
Pb (0.5000, 0.0000, 0.2981)  4 Rh 2.84
Pb (0.5000, 0.5000, 0.0789)  4 Fe 2.96, 2 Pb 3.26, 2 Rh 3.30

--- ii ---
VASP calculation (GGA-PBE) on FeRhPb2 after structural relaxation.

Values from the calculation:
- Total magnetic moment: 2.63 μB/f.u.
- D(E_F): 4.34 states/eV/cell

Cell: 4.8090 4.8090 3.3524 Å, 90.00 90.00 90.00°
With the nearest neighbours (Å) after each atom.
Sites, in units of the cell vectors:
Fe (0.0000, 0.0000, 0.0000)  8 Pb 2.93
Rh (0.5000, 0.5000, 0.0000)  8 Pb 2.93
Pb (0.0000, 0.5000, 0.5000)  4 Fe 2.93, 4 Rh 2.93
Pb (0.5000, 0.0000, 0.5000)  4 Fe 2.93, 4 Rh 2.93

--- iii ---
VASP calculation (GGA-PBE) on FeRhPb2 after structural relaxation.

Values from the calculation:
- Total magnetic moment: 2.61 μB/f.u.
- D(E_F): 10.84 states/eV/cell

Cell: 4.0070 4.0070 9.9214 Å, 90.00 90.00 90.00°
With the nearest neighbours (Å) after each atom.
Sites, in units of the cell vectors:
Fe (0.0000, 0.0000, 0.0000)  4 Pb 2.83
Fe (0.5000, 0.5000, 0.5000)  4 Pb 2.83
Rh (0.0000, 0.5000, 0.2500)  4 Pb 2.83
Rh (0.5000, 0.0000, 0.7500)  4 Pb 2.83
Pb (0.0000, 0.0000, 0.5000)  4 Fe 2.83
Pb (0.0000, 0.5000, 0.7500)  4 Rh 2.83
Pb (0.5000, 0.0000, 0.2500)  4 Rh 2.83
Pb (0.5000, 0.5000, 0.0000)  4 Fe 2.83

Of them, iii has the lowest stability.